[1]
VASP calculation (PBE) on an optimized crystal structure of Rb2CdIn.

Cell lengths 5.4956, 6.2647, 8.8523 Å; angles 90.00, 90.00, 90.00 degrees
Space group Pmma (No. 51)
One atom of each set of equivalent atoms:
Rb1 0.2500 0.0000 0.1360 x2
Rb2 0.2500 0.5000 0.3615 x2
Cd1 0.2500 0.5000 0.9064 x2
In1 0.2500 0.0000 0.5865 x2

E	-1.366	eV per atom
crystal system	orthorhombic

***

[2]
VASP calculation (PBE) on an optimized crystal structure of Rb4TlCd2In.

Cell lengths 6.0012, 6.0012, 8.4766 Å; angles 90.00, 90.00, 90.00 degrees
Space group P-4m2 (No. 115)
One atom of each set of equivalent atoms:
Rb1 0.0000 0.0000 0.0000 x1
Rb2 0.0000 0.5000 0.2495 x2
Rb3 0.5000 0.5000 0.5000 x1
Tl1 0.5000 0.5000 0.0000 x1
Cd1 0.0000 0.5000 0.7439 x2
In1 0.0000 0.0000 0.5000 x1

E	-1.291	eV per atom
crystal system	tetragonal

***

[3]
VASP calculation (PBE) on an optimized crystal structure of Cd2InRe.

Cell lengths 6.7399, 6.7399, 6.7399 Å; angles 90.00, 90.00, 90.00 degrees
Space group F-43m (No. 216)
One atom of each set of equivalent atoms:
Cd1 0.0000 0.0000 0.0000 x4
Cd2 0.2500 0.2500 0.2500 x4
In1 0.0000 0.0000 0.5000 x4
Re1 0.2500 0.2500 0.7500 x4

E	-3.540	eV per atom
crystal system	cubic
total magnetization	0.01	Bohr magnetons per cell

***

[4]
VASP calculation (PBE) on an optimized crystal structure of CdInRe2.

Cell lengths 6.5025, 6.5025, 6.5025 Å; angles 90.00, 90.00, 90.00 degrees
Space group F-43m (No. 216)
One atom of each set of equivalent atoms:
Cd1 0.0000 0.0000 0.0000 x4
In1 0.2500 0.2500 0.7500 x4
Re1 0.0000 0.0000 0.5000 x4
Re2 0.2500 0.2500 0.2500 x4

E	-6.401	eV per atom
crystal system	cubic
total magnetization	0.02	Bohr magnetons per cell

***

[5]
VASP calculation (PBE) on an optimized crystal structure of Cd2InS3.

Cell lengths 7.2192, 12.5831, 7.5634 Å; angles 90.00, 110.72, 90.00 degrees
Space group Cc (No. 9)
One atom of each set of equivalent atoms:
Cd1 0.0000 0.0670 0.0000 x4
Cd2 0.0092 0.2596 0.5140 x4
In1 0.4860 0.1087 0.4773 x4
S1 0.3757 0.4059 0.1370 x4
S2 0.3829 0.0647 0.1083 x4
S3 0.3885 0.2715 0.6530 x4

E	-3.318	eV per atom
crystal system	monoclinic

***

[6]
VASP calculation (PBE) on an optimized crystal structure of CdIn2Se3S.

Cell lengths 5.9335, 5.9765, 7.1007 Å; angles 65.13, 65.54, 89.29 degrees
Space group P1 (No. 1)
One atom of each set of equivalent atoms:
Cd1 0.0000 0.0000 0.0000 x1
In1 0.2489 0.7547 0.5066 x1
In2 0.4933 0.5062 0.0010 x1
Se1 0.0899 0.1425 0.2787 x1
Se2 0.6280 0.5883 0.2800 x1
Se3 0.8623 0.3790 0.7218 x1
S1 0.3892 0.8857 0.7407 x1

E	-3.577	eV per atom
crystal system	triclinic

***

[7]
VASP calculation (PBE) on an optimized crystal structure of TbCdInS3.

Cell lengths 4.0820, 14.0221, 10.7645 Å; angles 90.00, 90.00, 90.00 degrees
Space group Cmcm (No. 63)
One atom of each set of equivalent atoms:
Tb1 0.0000 0.0000 0.0000 x4
Cd1 0.0000 0.4408 0.2500 x4
In1 0.0000 0.2748 0.7500 x4
S1 0.0000 0.0607 0.2500 x4
S2 0.0000 0.3690 0.0399 x8

E	-4.499	eV per atom
crystal system	orthorhombic
total magnetization	0.02	Bohr magnetons per cell

***

[8]
VASP calculation (PBE) on an optimized crystal structure of CdIn2Te3S.

Cell lengths 6.2504, 6.2857, 7.5184 Å; angles 114.57, 112.63, 91.59 degrees
Space group P1 (No. 1)
One atom of each set of equivalent atoms:
Cd1 0.0000 0.0000 0.0000 x1
In1 0.5240 0.5252 0.0005 x1
In2 0.7564 0.2871 0.5198 x1
Te1 0.1450 0.1122 0.7230 x1
Te2 0.3754 0.8779 0.2844 x1
Te3 0.9269 0.4364 0.2816 x1
S1 0.6366 0.6368 0.7560 x1

E	-3.268	eV per atom
crystal system	triclinic

***

[9]
VASP calculation (PBE) on an optimized crystal structure of TmCdInS3.

Cell lengths 4.0049, 14.1295, 10.6580 Å; angles 90.00, 90.00, 90.00 degrees
Space group Cmcm (No. 63)
One atom of each set of equivalent atoms:
Tm1 0.0000 0.0000 0.0000 x4
Cd1 0.0000 0.4263 0.2500 x4
In1 0.0000 0.2879 0.7500 x4
S1 0.0000 0.0524 0.2500 x4
S2 0.0000 0.3709 0.0308 x8

E	-4.473	eV per atom
crystal system	orthorhombic
total magnetization	0.02	Bohr magnetons per cell

***

[10]
VASP calculation (PBE) on an optimized crystal structure of ScCdIn2.

Cell lengths 7.2233, 7.2233, 7.2233 Å; angles 90.00, 90.00, 90.00 degrees
Space group F-43m (No. 216)
One atom of each set of equivalent atoms:
Sc1 0.0000 0.0000 0.0000 x4
Cd1 0.2500 0.2500 0.2500 x4
In1 0.0000 0.0000 0.5000 x4
In2 0.2500 0.2500 0.7500 x4

E	-3.242	eV per atom
crystal system	cubic
total magnetization	0.04	Bohr magnetons per cell

***

[11]
VASP calculation (PBE) on an optimized crystal structure of Sc2CdIn.

Cell lengths 6.9940, 7.2336, 3.4974 Å; angles 90.00, 90.00, 90.00 degrees
Space group Cmmm (No. 65)
One atom of each set of equivalent atoms:
Sc1 0.2500 0.2500 0.0000 x4
Cd1 0.0000 0.0000 0.5000 x2
In1 0.0000 0.5000 0.5000 x2

E above lowest polymorph	5	meV/atom
E	-4.452	eV per atom
crystal system	orthorhombic
total magnetization	0.36	Bohr magnetons per cell

***

[12]
VASP calculation (PBE) on an optimized crystal structure of Sc2CdIn.

Cell lengths 4.9995, 15.0006, 7.0693 Å; angles 90.00, 90.00, 90.00 degrees
Space group Pnnm (No. 58)
One atom of each set of equivalent atoms:
Sc1 0.0000 0.0000 0.2500 x4
Sc2 0.0000 0.3333 0.2500 x8
Cd1 0.0000 0.5000 0.0000 x2
Cd2 0.0011 0.1667 0.0000 x4
In1 0.0000 0.5000 0.5000 x2
In2 0.0006 0.8333 0.5000 x4

E above lowest polymorph	0	meV/atom
E	-4.457	eV per atom
crystal system	orthorhombic
total magnetization	1.27	Bohr magnetons per cell

***

| no. | volume (Å³ per atom) |
| --- | --- |
| 1 | 38.1 |
| 2 | 38.2 |
| 3 | 19.1 |
| 4 | 17.2 |
| 5 | 26.8 |
| 6 | 29.1 |
| 7 | 25.7 |
| 8 | 34.5 |
| 9 | 25.1 |
| 10 | 23.6 |
| 11 | 22.1 |
| 12 | 22.1 |